(1)
# NaMnBeP2 (GGA-PBE, relaxed)
data_NaMnBeP2
_chemical_formula_sum 'Na1 Mn1 Be1 P2'
_cell_length_a 6.675
_cell_length_b 6.675
_cell_length_c 6.675
_cell_angle_alpha 148.11
_cell_angle_beta 148.11
_cell_angle_gamma 45.73
_symmetry_space_group_name_H-M 'P 1'
_symmetry_Int_Tables_number 1
loop_
_symmetry_equiv_pos_as_xyz
'x,y,z'
loop_
_atom_site_label
_atom_site_type_symbol
_atom_site_fract_x
_atom_site_fract_y
_atom_site_fract_z
Na1 Na 0.000 0.000 0.000
Mn1 Mn 0.750 0.250 0.500
Be1 Be 0.250 0.750 0.500
P1 P 0.358 0.358 0.000
P2 P 0.642 0.642 0.000
# **Excess energy over the best structure of this formula in the dataset**: 0.0000 eV/atom
# **Symmetry**: I-4m2, No. 119
# **E_form**: -335 meV/atom
# **N(E_F)**: 2.25 states/eV/f.u.


(2)
# NaMnBeP2 (GGA-PBE, relaxed)
data_NaMnBeP2
_chemical_formula_sum 'Na1 Mn1 Be1 P2'
_cell_length_a 4.773
_cell_length_b 4.773
_cell_length_c 4.648
_cell_angle_alpha 90.00
_cell_angle_beta 90.00
_cell_angle_gamma 90.00
_symmetry_space_group_name_H-M 'P 1'
_symmetry_Int_Tables_number 1
loop_
_symmetry_equiv_pos_as_xyz
'x,y,z'
loop_
_atom_site_label
_atom_site_type_symbol
_atom_site_fract_x
_atom_site_fract_y
_atom_site_fract_z
Na1 Na 0.000 0.000 0.000
Mn1 Mn 0.000 0.000 0.500
Be1 Be 0.500 0.500 0.500
P1 P 0.000 0.500 0.000
P2 P 0.500 0.000 0.000
# **Excess energy over the best structure of this formula in the dataset**: 2.0869 eV/atom
# **Symmetry**: P4/mmm, No. 123
# **E_form**: 1752 meV/atom
# **N(E_F)**: 2.98 states/eV/f.u.